(1)
This record from Alexandria describes YZr2Si after structural relaxation. The functional is GGA-PBEsol.

```
data_YZr2Si
_chemical_formula_sum 'Y1 Zr2 Si1'
_space_group_name_H-M_alt 'P 1'
_space_group_IT_number 1
_cell_length_a 3.0618
_cell_length_b 3.0618
_cell_length_c 9.1540
_cell_angle_alpha 90.00
_cell_angle_beta 90.00
_cell_angle_gamma 90.00
loop_
_space_group_symop_operation_xyz
'x,y,z'
loop_
_atom_site_label
_atom_site_type_symbol
_atom_site_fract_x
_atom_site_fract_y
_atom_site_fract_z
_atom_site_occupancy
Y1 Y 0.0000 0.0000 0.0000 1
Zr1 Zr 0.5000 0.5000 0.3028 1
Zr2 Zr 0.5000 0.5000 0.6972 1
Si1 Si 0.0000 0.0000 0.5000 1
```

Summary:
- DOS at the Fermi energy: 6.2 states/eV per cell
- ΔE to the lowest computed polymorph: 0.114 eV per atom
- Total DFT energy (no corrections): -7.878 eV/atom
- Raw formation energy: -0.191 eV/atom

---

(2)
This record from Alexandria describes YZr2Si after structural relaxation. The functional is GGA-PBEsol.

```
data_YZr2Si
_chemical_formula_sum 'Y1 Zr2 Si1'
_space_group_name_H-M_alt 'P 1'
_space_group_IT_number 1
_cell_length_a 5.5593
_cell_length_b 5.5593
_cell_length_c 5.5593
_cell_angle_alpha 137.61
_cell_angle_beta 133.21
_cell_angle_gamma 64.95
loop_
_space_group_symop_operation_xyz
'x,y,z'
loop_
_atom_site_label
_atom_site_type_symbol
_atom_site_fract_x
_atom_site_fract_y
_atom_site_fract_z
_atom_site_occupancy
Y1 Y 0.0000 0.0000 0.0000 1
Zr1 Zr 0.4630 0.4630 0.0000 1
Zr2 Zr 0.7378 0.2378 0.5000 1
Si1 Si 0.2455 0.7455 0.5000 1
```

Summary:
- DOS at the Fermi energy: 3.2 states/eV per cell
- ΔE to the lowest computed polymorph: 0.041 eV per atom
- Total DFT energy (no corrections): -7.950 eV/atom
- Raw formation energy: -0.263 eV/atom

---

(3)
This record from Alexandria describes YZr2Si after structural relaxation. The functional is GGA-PBEsol.

```
data_YZr2Si
_chemical_formula_sum 'Y1 Zr2 Si1'
_space_group_name_H-M_alt 'P 1'
_space_group_IT_number 1
_cell_length_a 5.6544
_cell_length_b 5.6544
_cell_length_c 5.2066
_cell_angle_alpha 105.30
_cell_angle_beta 105.30
_cell_angle_gamma 32.33
loop_
_space_group_symop_operation_xyz
'x,y,z'
loop_
_atom_site_label
_atom_site_type_symbol
_atom_site_fract_x
_atom_site_fract_y
_atom_site_fract_z
_atom_site_occupancy
Y1 Y 0.0000 0.0000 0.0000 1
Zr1 Zr 0.2193 0.2193 0.7165 1
Zr2 Zr 0.7807 0.7807 0.2835 1
Si1 Si 0.5000 0.5000 0.5000 1
```

Summary:
- DOS at the Fermi energy: 4.1 states/eV per cell
- ΔE to the lowest computed polymorph: 0.036 eV per atom
- Total DFT energy (no corrections): -7.955 eV/atom
- Raw formation energy: -0.268 eV/atom

---

(4)
This record from Alexandria describes Y2ZrSi after structural relaxation. The functional is GGA-PBEsol.

```
data_Y2ZrSi
_chemical_formula_sum 'Y2 Zr1 Si1'
_space_group_name_H-M_alt 'P 1'
_space_group_IT_number 1
_cell_length_a 5.5601
_cell_length_b 5.5601
_cell_length_c 5.5601
_cell_angle_alpha 133.59
_cell_angle_beta 133.59
_cell_angle_gamma 67.72
loop_
_space_group_symop_operation_xyz
'x,y,z'
loop_
_atom_site_label
_atom_site_type_symbol
_atom_site_fract_x
_atom_site_fract_y
_atom_site_fract_z
_atom_site_occupancy
Y1 Y 0.0000 0.0000 0.0000 1
Y2 Y 0.7500 0.2500 0.5000 1
Zr1 Zr 0.5000 0.5000 0.0000 1
Si1 Si 0.2500 0.7500 0.5000 1
```

Summary:
- DOS at the Fermi energy: 3.7 states/eV per cell
- ΔE to the lowest computed polymorph: 0.000 eV per atom
- Total DFT energy (no corrections): -7.357 eV/atom
- Raw formation energy: -0.237 eV/atom

---

(5)
This record from Alexandria describes YZr2Si after structural relaxation. The functional is GGA-PBEsol.

```
data_YZr2Si
_chemical_formula_sum 'Y1 Zr2 Si1'
_space_group_name_H-M_alt 'P 1'
_space_group_IT_number 1
_cell_length_a 4.3424
_cell_length_b 4.3424
_cell_length_c 4.3406
_cell_angle_alpha 90.00
_cell_angle_beta 90.00
_cell_angle_gamma 90.00
loop_
_space_group_symop_operation_xyz
'x,y,z'
loop_
_atom_site_label
_atom_site_type_symbol
_atom_site_fract_x
_atom_site_fract_y
_atom_site_fract_z
_atom_site_occupancy
Y1 Y 0.0000 0.0000 0.0000 1
Zr1 Zr 0.0000 0.5000 0.5000 1
Zr2 Zr 0.5000 0.0000 0.5000 1
Si1 Si 0.5000 0.5000 0.0000 1
```

Summary:
- DOS at the Fermi energy: 3.8 states/eV per cell
- ΔE to the lowest computed polymorph: 0.000 eV per atom
- Total DFT energy (no corrections): -7.992 eV/atom
- Raw formation energy: -0.305 eV/atom

---

(6)
This record from Alexandria describes Zn2Si after structural relaxation. The functional is GGA-PBEsol.

```
data_Zn2Si
_chemical_formula_sum 'Zn4 Si2'
_space_group_name_H-M_alt 'P 1'
_space_group_IT_number 1
_cell_length_a 6.0616
_cell_length_b 6.0616
_cell_length_c 3.8908
_cell_angle_alpha 90.00
_cell_angle_beta 90.00
_cell_angle_gamma 142.20
loop_
_space_group_symop_operation_xyz
'x,y,z'
loop_
_atom_site_label
_atom_site_type_symbol
_atom_site_fract_x
_atom_site_fract_y
_atom_site_fract_z
_atom_site_occupancy
Zn1 Zn 0.0000 0.0000 0.0000 1
Zn2 Zn 0.1655 0.8345 0.5000 1
Zn3 Zn 0.5000 0.5000 0.5000 1
Zn4 Zn 0.8345 0.1655 0.5000 1
Si1 Si 0.3346 0.6654 0.0000 1
Si2 Si 0.6654 0.3346 0.0000 1
```

Summary:
- DOS at the Fermi energy: 2.1 states/eV per cell
- Total DFT energy (no corrections): -2.765 eV/atom
- Raw formation energy: 0.205 eV/atom

---

Repeat the sixth record exactly.
This record from Alexandria describes Zn2Si after structural relaxation. The functional is GGA-PBEsol.

```
data_Zn2Si
_chemical_formula_sum 'Zn4 Si2'
_space_group_name_H-M_alt 'P 1'
_space_group_IT_number 1
_cell_length_a 6.0616
_cell_length_b 6.0616
_cell_length_c 3.8908
_cell_angle_alpha 90.00
_cell_angle_beta 90.00
_cell_angle_gamma 142.20
loop_
_space_group_symop_operation_xyz
'x,y,z'
loop_
_atom_site_label
_atom_site_type_symbol
_atom_site_fract_x
_atom_site_fract_y
_atom_site_fract_z
_atom_site_occupancy
Zn1 Zn 0.0000 0.0000 0.0000 1
Zn2 Zn 0.1655 0.8345 0.5000 1
Zn3 Zn 0.5000 0.5000 0.5000 1
Zn4 Zn 0.8345 0.1655 0.5000 1
Si1 Si 0.3346 0.6654 0.0000 1
Si2 Si 0.6654 0.3346 0.0000 1
```

Summary:
- DOS at the Fermi energy: 2.1 states/eV per cell
- Total DFT energy (no corrections): -2.765 eV/atom
- Raw formation energy: 0.205 eV/atom